Arrangement A

{"formula": "NiSbPtI2", "functional": "PBE-GGA", "state": "optimized geometry", "cell": [[5.185, 0.000, 0.000], [0.000, 5.185, 0.000], [0.000, 0.000, 4.885]], "species": ["Ni", "Sb", "Pt", "I", "I"], "fractional_positions": [[0.000, 0.000, 0.000], [0.000, 0.000, 0.500], [0.500, 0.500, 0.500], [0.000, 0.500, 0.000], [0.500, 0.000, 0.000]]}

Arrangement B

{"formula": "NiSbPtI2", "functional": "PBE-GGA", "state": "optimized geometry", "cell": [[5.598, 0.000, 0.000], [0.000, 5.598, 0.000], [0.000, 0.000, 5.116]], "species": ["Ni", "Sb", "Pt", "I", "I"], "fractional_positions": [[0.000, 0.000, 0.000], [0.500, 0.500, 0.000], [0.500, 0.500, 0.500], [0.000, 0.500, 0.500], [0.500, 0.000, 0.500]]}

Question: of the structures shown, which is the most stable? Reply: arrangement A.